Record 1
First-principles (PBEsol) data for crystalline Rb2SrLiCu at its relaxed geometry, as listed in Alexandria.

Lattice parameters (Å, degrees): 6.7025 6.7025 5.2153 90.00 90.00 90.00
Space group P4/mmm (No. 123)
Asymmetric unit:
Rb  0.0000  0.5000  0.0000
Sr  0.0000  0.0000  0.5000
Li  0.5000  0.5000  0.5000
Cu  0.5000  0.5000  0.0000

Summary:
- ρ: 2332 kg/m3
- DOS(E_F): 0.90 states/eV per atom
- Crystal system: tetragonal
- Energy of formation: 427 meV/atom

***

Record 2
First-principles (PBEsol) data for crystalline LiCu3Re at its relaxed geometry, as listed in Alexandria.

Lattice parameters (Å, degrees): 3.8832 3.8832 3.8832 90.00 90.00 90.00
Space group Pm-3m (No. 221)
Asymmetric unit:
Li  0.0000  0.0000  0.0000
Cu  0.0000  0.0000  0.5000
Re  0.5000  0.5000  0.5000

Summary:
- ρ: 10883 kg/m3
- DOS(E_F): 0.30 states/eV per atom
- Crystal system: cubic
- Energy of formation: 934 meV/atom